Record 1
VASP calculation (PBE) on an optimized crystal structure of Tb3TiTl3Se8.

a = 8.148 Å, b = 8.146 Å, c = 9.156 Å
α = 116.42°, β = 90.00°, γ = 120.01°
Fractional positions:
Tb 0.500 0.000 0.500
Tb 0.500 0.500 0.500
Tb 0.000 0.500 0.500
Tl 0.000 0.500 0.000
Tl 0.000 0.000 0.000
Tl 0.500 0.500 0.000
Se 0.736 0.472 0.707
Se 0.264 0.528 0.293
Se 0.783 0.024 0.306
Se 0.217 0.435 0.694
Se 0.783 0.565 0.306
Se 0.759 0.976 0.694
Se 0.241 0.024 0.306
Se 0.217 0.976 0.694
Ti 0.000 0.000 0.500

Computed properties:
total magnetization = 0.0 μB per formula unit
volume = 452 Å³/cell
total energy = -5.086 eV per atom
ΔE_f (raw) = -1.302 eV per atom

***

Record 2
VASP calculation (PBE) on an optimized crystal structure of Tb7TlSe5.

a = 4.080 Å, b = 7.074 Å, c = 24.443 Å
α = 89.99°, β = 90.00°, γ = 106.76°
Fractional positions:
Tb 0.818 0.635 0.677
Tb 0.639 0.277 0.036
Tb 0.482 0.965 0.250
Tb 0.907 0.815 0.387
Tb 0.907 0.814 0.113
Tb 0.362 0.724 0.964
Tb 0.183 0.366 0.323
Tb 0.093 0.187 0.613
Tb 0.818 0.636 0.823
Tb 0.518 0.036 0.750
Tb 0.362 0.724 0.536
Tb 0.183 0.365 0.177
Tb 0.093 0.187 0.887
Tb 0.639 0.278 0.464
Se 0.549 0.098 0.360
Se 0.549 0.097 0.140
Se 0.725 0.451 0.572
Se 0.725 0.451 0.928
Se 0.452 0.904 0.860
Se 0.275 0.551 0.428
Se 0.452 0.903 0.640
Se 0.275 0.550 0.072
Se 0.000 0.001 0.500
Se 0.000 0.001 0.000
Tl 0.808 0.615 0.250
Tl 0.193 0.386 0.750

Computed properties:
total magnetization = 0.0 μB per formula unit
volume = 676 Å³/cell
total energy = -5.464 eV per atom
ΔE_f (raw) = -1.448 eV per atom

***

Record 3
VASP calculation (PBE) on an optimized crystal structure of Tb4TlSe2.

a = 3.924 Å, b = 3.924 Å, c = 14.765 Å
α = 82.36°, β = 82.36°, γ = 60.00°
Fractional positions:
Tl 0.000 0.000 0.000
Tb 0.134 0.134 0.598
Tb 0.866 0.866 0.402
Tb 0.281 0.281 0.157
Tb 0.719 0.719 0.843
Se 0.574 0.574 0.277
Se 0.426 0.426 0.723

Computed properties:
total magnetization = 0.8 μB per formula unit
volume = 195 Å³/cell
energy relative to the lowest polymorph listed for this composition = 0.057 eV per atom
total energy = -5.061 eV per atom
ΔE_f (raw) = -1.081 eV per atom

***

Record 4
VASP calculation (PBE) on an optimized crystal structure of Tb4TlSe6.

a = 4.141 Å, b = 7.173 Å, c = 21.775 Å
α = 90.00°, β = 90.00°, γ = 106.78°
Fractional positions:
Se 0.336 0.672 0.250
Se 0.960 0.921 0.846
Se 0.664 0.328 0.750
Se 0.228 0.457 0.581
Se 0.040 0.079 0.346
Se 0.040 0.079 0.154
Se 0.960 0.921 0.654
Se 0.500 0.000 0.000
Se 0.500 0.000 0.500
Se 0.772 0.543 0.081
Se 0.228 0.457 0.919
Se 0.772 0.543 0.419
Tb 0.595 0.189 0.632
Tb 0.133 0.266 0.459
Tb 0.867 0.734 0.959
Tb 0.133 0.266 0.041
Tb 0.405 0.811 0.368
Tb 0.595 0.189 0.868
Tb 0.867 0.734 0.541
Tb 0.405 0.811 0.132
Tl 0.337 0.674 0.750
Tl 0.663 0.326 0.250

Computed properties:
total magnetization = 0.0 μB per formula unit
volume = 619 Å³/cell
total energy = -5.446 eV per atom
ΔE_f (raw) = -1.646 eV per atom